PBE-GGA Si2H6Br, relaxed; size of the total moment = 0.0 μB/cell; raw total energy = -62.8 eV for the cell shown
1.0
-0.420 -3.639 -2.760
5.816 -0.856 -5.084
0.705 -6.852 3.599
Si H Br
4 12 2
Cartesian
4.567 -7.337 -1.453
1.147 -2.891 -0.397
1.534 -4.010 -2.791
4.954 -8.456 -3.848
4.390 -6.905 -3.009
2.033 -5.637 -3.521
1.710 -4.443 -1.236
4.067 -5.711 -0.724
5.006 -4.434 -2.489
2.838 -3.296 -2.980
1.095 -6.914 -1.756
3.262 -8.051 -1.265
5.514 -8.435 -1.939
0.383 -1.578 -0.224
0.587 -2.913 -2.306
5.717 -9.769 -4.021
1.610 -6.576 1.192
4.490 -4.771 -5.437